# Li3MnZn PBEsol optimized geometry
data_Li3MnZn
_symmetry_space_group_name_H-M 'P m -3 m'
_symmetry_Int_Tables_number 221
_symmetry_space_group_name_Hall '-P 4 2 3'
_cell_length_a 4.720
_cell_length_b 4.720
_cell_length_c 4.720
_cell_angle_alpha 90.00
_cell_angle_beta 90.00
_cell_angle_gamma 90.00
loop_
_atom_site_label
_atom_site_type_symbol
_atom_site_fract_x
_atom_site_fract_y
_atom_site_fract_z
Li1 Li 0.000 0.000 0.500
Mn1 Mn 0.000 0.000 0.000
Zn1 Zn 0.500 0.500 0.500
# Volume: 105.14 Å³/f.u.
# Energy relative to the elements: 0.90 eV/atom